[1]
DFT (GGA-PBEsol) results for Be2CoAgPt after structural relaxation.

Calculated values
**E_form**: 1.205 eV per atom

The structure in CIF format:
```
data_Be2CoAgPt
_space_group_name_H-M_alt 'P 4/m m m'
_space_group_IT_number 123
_space_group_name_Hall '-P 4 2'
_cell_length_a 4.082
_cell_length_b 4.082
_cell_length_c 4.505
_cell_angle_alpha 90.00
_cell_angle_beta 90.00
_cell_angle_gamma 90.00
loop_
_atom_site_label
_atom_site_fract_x
_atom_site_fract_y
_atom_site_fract_z
Be1 0.000 0.500 0.000
Co1 0.000 0.000 0.500
Ag1 0.000 0.000 0.000
Pt1 0.500 0.500 0.500
```

=====

[2]
DFT (GGA-PBEsol) results for BeCr4Ag after structural relaxation.

Calculated values
**E_form**: 0.553 eV per atom

The structure in CIF format:
```
data_BeCr4Ag
_space_group_name_H-M_alt 'F -4 3 m'
_space_group_IT_number 216
_space_group_name_Hall 'F -4 2 3'
_cell_length_a 6.632
_cell_length_b 6.632
_cell_length_c 6.632
_cell_angle_alpha 90.00
_cell_angle_beta 90.00
_cell_angle_gamma 90.00
loop_
_atom_site_label
_atom_site_fract_x
_atom_site_fract_y
_atom_site_fract_z
Be1 0.000 0.000 0.000
Cr1 0.127 0.127 0.373
Ag1 0.250 0.250 0.750
```

=====

[3]
DFT (GGA-PBEsol) results for BeNbCr2Ag after structural relaxation.

Calculated values
**E_form**: 2.136 eV per atom

The structure in CIF format:
```
data_BeNbCr2Ag
_space_group_name_H-M_alt 'P 4/m m m'
_space_group_IT_number 123
_space_group_name_Hall '-P 4 2'
_cell_length_a 4.745
_cell_length_b 4.745
_cell_length_c 4.934
_cell_angle_alpha 90.00
_cell_angle_beta 90.00
_cell_angle_gamma 90.00
loop_
_atom_site_label
_atom_site_fract_x
_atom_site_fract_y
_atom_site_fract_z
Be1 0.000 0.000 0.000
Nb1 0.500 0.500 0.000
Cr1 0.000 0.500 0.500
Ag1 0.500 0.500 0.500
```

=====

[4]
DFT (GGA-PBEsol) results for Be2CuAg after structural relaxation.

Calculated values
**E above lowest polymorph**: 0.000 eV per atom
**E_form**: 0.038 eV per atom

The structure in CIF format:
```
data_Be2CuAg
_space_group_name_H-M_alt 'P 4/m m m'
_space_group_IT_number 123
_space_group_name_Hall '-P 4 2'
_cell_length_a 3.967
_cell_length_b 3.967
_cell_length_c 2.784
_cell_angle_alpha 90.00
_cell_angle_beta 90.00
_cell_angle_gamma 90.00
loop_
_atom_site_label
_atom_site_fract_x
_atom_site_fract_y
_atom_site_fract_z
Be1 0.000 0.500 0.000
Cu1 0.000 0.000 0.500
Ag1 0.500 0.500 0.500
```

=====

[5]
DFT (GGA-PBEsol) results for Be2CuAg after structural relaxation.

Calculated values
**E above lowest polymorph**: 0.004 eV per atom
**E_form**: 0.042 eV per atom

The structure in CIF format:
```
data_Be2CuAg
_space_group_name_H-M_alt 'P 4 m m'
_space_group_IT_number 99
_space_group_name_Hall 'P 4 -2'
_cell_length_a 2.730
_cell_length_b 2.730
_cell_length_c 5.855
_cell_angle_alpha 90.00
_cell_angle_beta 90.00
_cell_angle_gamma 90.00
loop_
_atom_site_label
_atom_site_fract_x
_atom_site_fract_y
_atom_site_fract_z
Be1 0.000 0.000 0.000
Be2 0.500 0.500 0.195
Cu1 0.000 0.000 0.401
Ag1 0.500 0.500 0.734
```

=====

[6]
DFT (GGA-PBEsol) results for Be4CuAg after structural relaxation.

Calculated values
**E_form**: -0.073 eV per atom

The structure in CIF format:
```
data_Be4CuAg
_space_group_name_H-M_alt 'F -4 3 m'
_space_group_IT_number 216
_space_group_name_Hall 'F -4 2 3'
_cell_length_a 6.145
_cell_length_b 6.145
_cell_length_c 6.145
_cell_angle_alpha 90.00
_cell_angle_beta 90.00
_cell_angle_gamma 90.00
loop_
_atom_site_label
_atom_site_fract_x
_atom_site_fract_y
_atom_site_fract_z
Be1 0.125 0.125 0.125
Cu1 0.250 0.250 0.750
Ag1 0.000 0.000 0.500
```

=====

[7]
DFT (GGA-PBEsol) results for BeAgF3 after structural relaxation.

Calculated values
**Energy relative to the elements, uncorrected**: -10.5 eV/f.u.

The structure in CIF format:
```
data_BeAgF3
_space_group_name_H-M_alt 'P m -3 m'
_space_group_IT_number 221
_space_group_name_Hall '-P 4 2 3'
_cell_length_a 3.620
_cell_length_b 3.620
_cell_length_c 3.620
_cell_angle_alpha 90.00
_cell_angle_beta 90.00
_cell_angle_gamma 90.00
loop_
_atom_site_label
_atom_site_fract_x
_atom_site_fract_y
_atom_site_fract_z
Be1 0.000 0.000 0.000
Ag1 0.500 0.500 0.500
F1 0.000 0.000 0.500
```

=====

[8]
DFT (GGA-PBEsol) results for BeAgF2 after structural relaxation.

Calculated values
**Energy relative to the elements, uncorrected**: -6.1 eV/f.u.

The structure in CIF format:
```
data_BeAgF2
_space_group_name_H-M_alt 'R -3 m'
_space_group_IT_number 166
_space_group_name_Hall '-R 3 2"'
_cell_length_a 2.8929
_cell_length_b 2.8929
_cell_length_c 26.6436
_cell_angle_alpha 90.00
_cell_angle_beta 90.00
_cell_angle_gamma 120.00
loop_
_atom_site_label
_atom_site_fract_x
_atom_site_fract_y
_atom_site_fract_z
Be1 0.0000 0.0000 0.0000
Ag1 0.0000 0.0000 0.5000
F1 0.0000 0.0000 0.0519
```

=====

no.,DOS at the Fermi energy (states/eV/cell),DFT total energy (eV/cell)
1,5.95,-20.0
2,25.22,-179.9
3,6.64,-27.9
4,0.91,-15.5
5,0.86,-15.5
6,4.21,-96.3
7,0.00,-23.6
8,1.06,-51.7